#P
The following is a PBE-GGA calculation of an optimized crystal structure of TaCoHOs2, from the Alexandria database.

## Properties
Its symmetry is P4/mmm, No. 123.

```
data_TaCoHOs2
_chemical_formula_sum 'Ta1 Co1 H1 Os2'
_cell_length_a 3.9339
_cell_length_b 3.9339
_cell_length_c 3.7983
_cell_angle_alpha 90.00
_cell_angle_beta 90.00
_cell_angle_gamma 90.00
_space_group_name_H-M_alt 'P 1'
_space_group_IT_number 1
_space_group_name_Hall 'P 1'
loop_
_atom_site_label
_atom_site_fract_x
_atom_site_fract_y
_atom_site_fract_z
_atom_site_occupancy
Ta1 0.0000 0.0000 0.0000 1
Co1 0.5000 0.5000 0.0000 1
H1 0.5000 0.5000 0.5000 1
Os1 0.0000 0.5000 0.5000 1
Os2 0.5000 0.0000 0.5000 1
```

=====

#Q
The following is a PBE-GGA calculation of an optimized crystal structure of TaCoHOs2, from the Alexandria database.

## Properties
Its symmetry is P4/mmm, No. 123.

```
data_TaCoHOs2
_chemical_formula_sum 'Ta1 Co1 H1 Os2'
_cell_length_a 3.8626
_cell_length_b 3.8626
_cell_length_c 3.9821
_cell_angle_alpha 90.00
_cell_angle_beta 90.00
_cell_angle_gamma 90.00
_space_group_name_H-M_alt 'P 1'
_space_group_IT_number 1
_space_group_name_Hall 'P 1'
loop_
_atom_site_label
_atom_site_fract_x
_atom_site_fract_y
_atom_site_fract_z
_atom_site_occupancy
Ta1 0.0000 0.0000 0.0000 1
Co1 0.5000 0.5000 0.0000 1
H1 0.0000 0.0000 0.5000 1
Os1 0.0000 0.5000 0.5000 1
Os2 0.5000 0.0000 0.5000 1
```

=====

Name the least stable of them. #Q.

=====

#P
The following is a PBE-GGA calculation of an optimized crystal structure of Ta2CoHOs, from the Alexandria database.

## Properties
Its symmetry is P4/mmm, No. 123.

```
data_Ta2CoHOs
_chemical_formula_sum 'Ta2 Co1 H1 Os1'
_cell_length_a 4.1357
_cell_length_b 4.1357
_cell_length_c 3.7227
_cell_angle_alpha 90.00
_cell_angle_beta 90.00
_cell_angle_gamma 90.00
_space_group_name_H-M_alt 'P 1'
_space_group_IT_number 1
_space_group_name_Hall 'P 1'
loop_
_atom_site_label
_atom_site_fract_x
_atom_site_fract_y
_atom_site_fract_z
_atom_site_occupancy
Ta1 0.0000 0.5000 0.0000 1
Ta2 0.5000 0.0000 0.0000 1
Co1 0.0000 0.0000 0.5000 1
H1 0.5000 0.5000 0.0000 1
Os1 0.5000 0.5000 0.5000 1
```

=====

#Q
The following is a PBE-GGA calculation of an optimized crystal structure of Ta2CoHOs, from the Alexandria database.

## Properties
Its symmetry is P4/mmm, No. 123.

```
data_Ta2CoHOs
_chemical_formula_sum 'Ta2 Co1 H1 Os1'
_cell_length_a 4.1911
_cell_length_b 4.1911
_cell_length_c 3.5795
_cell_angle_alpha 90.00
_cell_angle_beta 90.00
_cell_angle_gamma 90.00
_space_group_name_H-M_alt 'P 1'
_space_group_IT_number 1
_space_group_name_Hall 'P 1'
loop_
_atom_site_label
_atom_site_fract_x
_atom_site_fract_y
_atom_site_fract_z
_atom_site_occupancy
Ta1 0.0000 0.5000 0.0000 1
Ta2 0.5000 0.0000 0.0000 1
Co1 0.0000 0.0000 0.5000 1
H1 0.0000 0.0000 0.0000 1
Os1 0.5000 0.5000 0.5000 1
```

=====

Name the least stable of them. #P.

=====

#P
The following is a PBE-GGA calculation of an optimized crystal structure of Co2TcHOs, from the Alexandria database.

## Properties
Its symmetry is P4/mmm, No. 123.

```
data_Co2TcHOs
_chemical_formula_sum 'Co2 Tc1 H1 Os1'
_cell_length_a 3.6934
_cell_length_b 3.6934
_cell_length_c 3.8120
_cell_angle_alpha 90.00
_cell_angle_beta 90.00
_cell_angle_gamma 90.00
_space_group_name_H-M_alt 'P 1'
_space_group_IT_number 1
_space_group_name_Hall 'P 1'
loop_
_atom_site_label
_atom_site_fract_x
_atom_site_fract_y
_atom_site_fract_z
_atom_site_occupancy
Co1 0.0000 0.5000 0.0000 1
Co2 0.5000 0.0000 0.0000 1
Tc1 0.0000 0.0000 0.5000 1
H1 0.0000 0.0000 0.0000 1
Os1 0.5000 0.5000 0.5000 1
```

=====

#Q
The following is a PBE-GGA calculation of an optimized crystal structure of Co2TcHOs, from the Alexandria database.

## Properties
Its symmetry is P4/mmm, No. 123.

```
data_Co2TcHOs
_chemical_formula_sum 'Co2 Tc1 H1 Os1'
_cell_length_a 3.7107
_cell_length_b 3.7107
_cell_length_c 3.7896
_cell_angle_alpha 90.00
_cell_angle_beta 90.00
_cell_angle_gamma 90.00
_space_group_name_H-M_alt 'P 1'
_space_group_IT_number 1
_space_group_name_Hall 'P 1'
loop_
_atom_site_label
_atom_site_fract_x
_atom_site_fract_y
_atom_site_fract_z
_atom_site_occupancy
Co1 0.0000 0.5000 0.0000 1
Co2 0.5000 0.0000 0.0000 1
Tc1 0.0000 0.0000 0.5000 1
H1 0.5000 0.5000 0.0000 1
Os1 0.5000 0.5000 0.5000 1
```

=====

Name the least stable of them. #Q.

=====

#P
The following is a PBE-GGA calculation of an optimized crystal structure of Ti2CoHOs, from the Alexandria database.

## Properties
Its symmetry is P4/mmm, No. 123.

```
data_Ti2CoHOs
_chemical_formula_sum 'Ti2 Co1 H1 Os1'
_cell_length_a 4.2284
_cell_length_b 4.2284
_cell_length_c 3.2528
_cell_angle_alpha 90.00
_cell_angle_beta 90.00
_cell_angle_gamma 90.00
_space_group_name_H-M_alt 'P 1'
_space_group_IT_number 1
_space_group_name_Hall 'P 1'
loop_
_atom_site_label
_atom_site_fract_x
_atom_site_fract_y
_atom_site_fract_z
_atom_site_occupancy
Ti1 0.0000 0.5000 0.0000 1
Ti2 0.5000 0.0000 0.0000 1
Co1 0.0000 0.0000 0.5000 1
H1 0.0000 0.0000 0.0000 1
Os1 0.5000 0.5000 0.5000 1
```

=====

#Q
The following is a PBE-GGA calculation of an optimized crystal structure of Ti2CoHOs, from the Alexandria database.

## Properties
Its symmetry is P4/mmm, No. 123.

```
data_Ti2CoHOs
_chemical_formula_sum 'Ti2 Co1 H1 Os1'
_cell_length_a 4.1316
_cell_length_b 4.1316
_cell_length_c 3.4986
_cell_angle_alpha 90.00
_cell_angle_beta 90.00
_cell_angle_gamma 90.00
_space_group_name_H-M_alt 'P 1'
_space_group_IT_number 1
_space_group_name_Hall 'P 1'
loop_
_atom_site_label
_atom_site_fract_x
_atom_site_fract_y
_atom_site_fract_z
_atom_site_occupancy
Ti1 0.0000 0.5000 0.0000 1
Ti2 0.5000 0.0000 0.0000 1
Co1 0.0000 0.0000 0.5000 1
H1 0.5000 0.5000 0.0000 1
Os1 0.5000 0.5000 0.5000 1
```

=====

Name the least stable of them. #Q.

=====

#P
The following is a PBE-GGA calculation of an optimized crystal structure of Co2PH, from the Alexandria database.

## Properties
Its symmetry is I-42d, No. 122.

```
data_Co2PH
_chemical_formula_sum 'Co4 P2 H2'
_cell_length_a 5.0183
_cell_length_b 5.0183
_cell_length_c 5.0183
_cell_angle_alpha 126.44
_cell_angle_beta 126.44
_cell_angle_gamma 79.17
_space_group_name_H-M_alt 'P 1'
_space_group_IT_number 1
_space_group_name_Hall 'P 1'
loop_
_atom_site_label
_atom_site_fract_x
_atom_site_fract_y
_atom_site_fract_z
_atom_site_occupancy
Co1 0.0325 0.6250 0.9075 1
Co2 0.3750 0.2825 0.4075 1
Co3 0.7175 0.1250 0.0925 1
Co4 0.8750 0.9675 0.5925 1
P1 0.2500 0.7500 0.5000 1
P2 0.5000 0.5000 0.0000 1
H1 0.0000 0.0000 0.0000 1
H2 0.7500 0.2500 0.5000 1
```

=====

#Q
The following is a PBE-GGA calculation of an optimized crystal structure of Co2PH, from the Alexandria database.

## Properties
Its symmetry is Fm-3m, No. 225.

```
data_Co2PH
_chemical_formula_sum 'Co2 P1 H1'
_cell_length_a 3.6875
_cell_length_b 3.6875
_cell_length_c 3.6875
_cell_angle_alpha 60.00
_cell_angle_beta 60.00
_cell_angle_gamma 60.00
_space_group_name_H-M_alt 'P 1'
_space_group_IT_number 1
_space_group_name_Hall 'P 1'
loop_
_atom_site_label
_atom_site_fract_x
_atom_site_fract_y
_atom_site_fract_z
_atom_site_occupancy
Co1 0.2500 0.2500 0.2500 1
Co2 0.7500 0.7500 0.7500 1
P1 0.0000 0.0000 0.0000 1
H1 0.5000 0.5000 0.5000 1
```

=====

Name the least stable of them. #P.

=====

#P
The following is a PBE-GGA calculation of an optimized crystal structure of CoPHS2, from the Alexandria database.

## Properties
Its symmetry is P4/mmm, No. 123.

```
data_CoPHS2
_chemical_formula_sum 'Co1 P1 H1 S2'
_cell_length_a 4.2965
_cell_length_b 4.2965
_cell_length_c 3.1994
_cell_angle_alpha 90.00
_cell_angle_beta 90.00
_cell_angle_gamma 90.00
_space_group_name_H-M_alt 'P 1'
_space_group_IT_number 1
_space_group_name_Hall 'P 1'
loop_
_atom_site_label
_atom_site_fract_x
_atom_site_fract_y
_atom_site_fract_z
_atom_site_occupancy
Co1 0.0000 0.0000 0.0000 1
P1 0.5000 0.5000 0.0000 1
H1 0.5000 0.5000 0.5000 1
S1 0.0000 0.5000 0.5000 1
S2 0.5000 0.0000 0.5000 1
```

=====

#Q
The following is a PBE-GGA calculation of an optimized crystal structure of CoPHS2, from the Alexandria database.

## Properties
Its symmetry is P4/mmm, No. 123.

```
data_CoPHS2
_chemical_formula_sum 'Co1 P1 H1 S2'
_cell_length_a 4.5294
_cell_length_b 4.5294
_cell_length_c 4.1991
_cell_angle_alpha 90.00
_cell_angle_beta 90.00
_cell_angle_gamma 90.00
_space_group_name_H-M_alt 'P 1'
_space_group_IT_number 1
_space_group_name_Hall 'P 1'
loop_
_atom_site_label
_atom_site_fract_x
_atom_site_fract_y
_atom_site_fract_z
_atom_site_occupancy
Co1 0.0000 0.0000 0.0000 1
P1 0.0000 0.0000 0.5000 1
H1 0.5000 0.5000 0.5000 1
S1 0.0000 0.5000 0.0000 1
S2 0.5000 0.0000 0.0000 1
```

=====

Name the least stable of them. #Q.